[1]
Below is a geometry-optimized ScAsSe2 structure, with properties calculated at the PBE level.

Lattice parameters (Å, degrees): 8.124 8.124 8.124 25.95 25.95 25.95
Atoms (fractional coordinates):
Se (0.012, 0.012, 0.012)
Se (0.488, 0.488, 0.488)
Sc (0.750, 0.750, 0.750)
As (0.250, 0.250, 0.250)

Crystal system: trigonal
Formation energy from raw total energies: -538.2 meV per atom
Density: 5.10 Mg/m³

[2]
Below is a geometry-optimized Y3Sb structure, with properties calculated at the PBE level.

Lattice parameters (Å, degrees): 4.055 4.055 7.081 90.00 90.00 90.00
Site moments in Bohr magnetons follow the coordinates.
Atoms (fractional coordinates):
Y (0.500, 0.500, 0.773)  0.08
Y (0.500, 0.500, 0.227)  0.08
Y (0.000, 0.000, 0.500)  0.11
Sb (0.000, 0.000, 0.000)  0.00

Crystal system: tetragonal
Formation energy from raw total energies: -490.1 meV per atom
Polymorph energy (0 for the lowest one): 0.53 eV/f.u.
Density: 5.54 Mg/m³

[3]
Below is a geometry-optimized CeGa6Ni structure, with properties calculated at the PBE level.

Lattice parameters (Å, degrees): 4.267 4.267 7.912 90.00 90.00 90.00
Atoms (fractional coordinates):
Ce (0.000, 0.000, 0.000)
Ga (0.000, 0.500, 0.335)
Ga (0.000, 0.500, 0.665)
Ga (0.500, 0.000, 0.335)
Ga (0.500, 0.500, 0.150)
Ni (0.000, 0.000, 0.500)
Ga (0.500, 0.500, 0.850)
Ga (0.500, 0.000, 0.665)

Crystal system: tetragonal
Density: 7.11 Mg/m³
Formation energy from the elements: -0.431 eV/atom

[4]
Below is a geometry-optimized Tm7Pt2Pb2 structure, with properties calculated at the PBE level.

Lattice parameters (Å, degrees): 6.843 7.071 6.843 90.00 104.46 90.00
Atoms (fractional coordinates):
Pb (0.811, 0.500, 0.811)
Pt (0.284, 0.000, 0.716)
Tm (0.500, 0.755, 0.000)
Tm (0.500, 0.234, 0.500)
Pt (0.716, 0.000, 0.284)
Tm (0.000, 0.000, 0.000)
Tm (0.500, 0.766, 0.500)
Tm (0.000, 0.755, 0.500)
Pb (0.189, 0.500, 0.189)
Tm (0.000, 0.245, 0.500)
Tm (0.500, 0.245, 0.000)

Crystal system: orthorhombic
Polymorph energy (0 for the lowest one): 1.57 eV/f.u.
Density: 10.29 Mg/m³
Formation energy from the elements: -0.571 eV/atom

[5]
Below is a geometry-optimized Ir2PtPb structure, with properties calculated at the PBE level.

Lattice parameters (Å, degrees): 4.601 4.601 4.601 60.00 60.00 60.00
Atoms (fractional coordinates):
Ir (0.000, 0.000, 0.000)
Pb (0.500, 0.500, 0.500)
Ir (0.250, 0.250, 0.250)
Pt (0.750, 0.750, 0.750)

Crystal system: cubic
Density: 18.97 Mg/m³
Formation energy from the elements: 0.522 eV/atom

[6]
Below is a geometry-optimized SrLa2MgMn structure, with properties calculated at the PBE level.

Lattice parameters (Å, degrees): 5.251 5.251 5.640 90.00 90.00 90.00
Atoms (fractional coordinates):
La (0.500, 0.000, 0.000)
Mn (0.000, 0.000, 0.000)
La (0.000, 0.500, 0.000)
Mg (0.000, 0.000, 0.500)
Sr (0.500, 0.500, 0.500)

Crystal system: tetragonal
Density: 4.75 Mg/m³
Formation energy from the elements: 0.164 eV/atom

[7]
Below is a geometry-optimized NaSr2Ta2 structure, with properties calculated at the PBE level.

Lattice parameters (Å, degrees): 9.797 9.797 3.339 90.00 90.00 90.00
Atoms (fractional coordinates):
Na (0.000, 0.000, 0.000)
Sr (0.301, 0.199, 0.500)
Sr (0.699, 0.801, 0.500)
Ta (0.087, 0.413, 0.000)
Ta (0.587, 0.087, 0.000)
Sr (0.801, 0.301, 0.500)
Sr (0.199, 0.699, 0.500)
Na (0.500, 0.500, 0.000)
Ta (0.913, 0.587, 0.000)
Ta (0.413, 0.913, 0.000)

Crystal system: tetragonal
Polymorph energy (0 for the lowest one): 0.00 eV/f.u.
Density: 5.80 Mg/m³
Formation energy from the elements: 0.937 eV/atom

[8]
Below is a geometry-optimized LiNi15Sb4 structure, with properties calculated at the PBE level.

Lattice parameters (Å, degrees): 3.725 3.725 18.113 90.00 90.00 90.00
Site moments in Bohr magnetons follow the coordinates.
Atoms (fractional coordinates):
Sb (0.000, 0.000, 0.812)  0.00
Ni (0.500, 0.000, 0.910)  0.19
Ni (0.500, 0.500, 0.196)  0.00
Sb (0.000, 0.000, 0.604)  0.00
Sb (0.000, 0.000, 0.396)  0.00
Ni (0.500, 0.000, 0.500)  0.00
Li (0.000, 0.000, 0.000)  -0.01
Ni (0.000, 0.500, 0.090)  0.19
Ni (0.500, 0.000, 0.705)  -0.02
Ni (0.000, 0.500, 0.705)  -0.02
Ni (0.500, 0.500, 0.398)  0.00
Ni (0.500, 0.000, 0.090)  0.19
Ni (0.000, 0.500, 0.500)  0.00
Ni (0.500, 0.000, 0.295)  -0.02
Sb (0.000, 0.000, 0.188)  0.00
Ni (0.500, 0.500, 0.000)  0.46
Ni (0.000, 0.500, 0.295)  -0.02
Ni (0.500, 0.500, 0.804)  0.00
Ni (0.000, 0.500, 0.910)  0.19
Ni (0.500, 0.500, 0.602)  0.00

Crystal system: tetragonal
Formation energy from raw total energies: -118.4 meV per atom
Density: 9.08 Mg/m³

[9]
Below is a geometry-optimized LiDyIn4Rh2 structure, with properties calculated at the PBE level.

Lattice parameters (Å, degrees): 4.755 4.755 8.304 73.36 73.36 60.00
Atoms (fractional coordinates):
In (0.868, 0.868, 0.395)
In (0.385, 0.385, 0.846)
In (0.132, 0.132, 0.605)
In (0.615, 0.615, 0.154)
Rh (0.747, 0.747, 0.758)
Li (0.500, 0.500, 0.500)
Dy (0.000, 0.000, 0.000)
Rh (0.253, 0.253, 0.242)

Crystal system: trigonal
Density: 9.03 Mg/m³
Formation energy from the elements: -0.419 eV/atom

[10]
Below is a geometry-optimized Ca3P4Pt2 structure, with properties calculated at the PBE level.

Lattice parameters (Å, degrees): 4.150 5.790 7.988 97.50 90.00 111.00
Atoms (fractional coordinates):
P (0.275, 0.550, 0.942)
Pt (0.391, 0.783, 0.719)
Ca (0.332, 0.665, 0.330)
P (0.725, 0.450, 0.058)
Pt (0.609, 0.217, 0.281)
P (0.053, 0.106, 0.389)
P (0.947, 0.894, 0.611)
Ca (0.000, 0.000, 0.000)
Ca (0.668, 0.335, 0.670)

Crystal system: monoclinic
Density: 5.94 Mg/m³
Formation energy from the elements: -1.033 eV/atom

[11]
Below is a geometry-optimized RbPd2Se2 structure, with properties calculated at the PBE level.

Lattice parameters (Å, degrees): 4.919 4.919 6.609 68.15 68.15 90.00
Atoms (fractional coordinates):
Se (0.750, 0.250, 0.500)
Se (0.250, 0.750, 0.500)
Pd (0.309, 0.309, 0.383)
Rb (0.000, 0.000, 0.000)
Pd (0.691, 0.691, 0.617)

Crystal system: tetragonal
Formation energy from raw total energies: -499.3 meV per atom
Polymorph energy (0 for the lowest one): 0.00 eV/f.u.
Density: 5.57 Mg/m³

[12]
Below is a geometry-optimized LaAl11Rh structure, with properties calculated at the PBE level.

Lattice parameters (Å, degrees): 5.213 7.284 6.878 82.77 67.73 70.60
Atoms (fractional coordinates):
Al (0.000, 0.500, 0.000)
Al (0.992, 0.359, 0.649)
Rh (0.500, 0.500, 0.000)
Al (0.500, 0.000, 0.500)
Al (0.008, 0.641, 0.351)
La (0.000, 0.000, 0.000)
Al (0.642, 0.359, 0.351)
Al (0.278, 0.232, 0.221)
Al (0.358, 0.641, 0.649)
Al (0.000, 0.000, 0.500)
Al (0.722, 0.768, 0.779)
Al (0.501, 0.768, 0.221)
Al (0.499, 0.232, 0.779)

Crystal system: monoclinic
Density: 3.92 Mg/m³
Formation energy from the elements: -0.326 eV/atom